Entry 1:
Hf8NbIn6 | PBE-GGA | relaxed

The density is 10.23 Mg/m³. As for the spin magnetization: 0.00 Bohr magnetons per cell. Its formation energy from the elements is 0.286 eV/atom.

The space group is R-3 (No. 148, hexagonal axes) and the conventional cell measures 8.3291, 8.3291 and 17.9040 Å, with angles of 90.00, 90.00 and 120.00 degrees. The distinct sites, in fractional coordinates, are Hf at (0.0000, 0.0000, 0.1662), Hf at (0.0017, 0.6764, 0.6117), Nb at (0.0000, 0.0000, 0.5000) and In at (0.0012, 0.6644, 0.4392).

Entry 2:
Hf5Nb2In4 | PBE-GGA | relaxed

The density is 10.02 Mg/m³. As for the spin magnetization: 0.00 Bohr magnetons per cell. Its formation energy from the elements is 0.176 eV/atom.

The space group is Immm (No. 71) and the conventional cell measures 3.145, 7.768 and 20.863 Å, with angles of 90.00, 90.00 and 90.00 degrees. The distinct sites, in fractional coordinates, are Hf at (0.000, 0.000, 0.000), Hf at (0.000, 0.306, 0.366), Nb at (0.000, 0.500, 0.103), In at (0.000, 0.182, 0.500) and In at (0.000, 0.500, 0.237).

Entry 3:
Hf6NbIn | PBE-GGA | relaxed

The density is 12.38 Mg/m³. As for the spin magnetization: 0.00 Bohr magnetons per cell. Its polymorph energy (0 for the lowest one) is 60 meV per atom. Its formation energy from the elements is 0.086 eV/atom.

The space group is R-3m (No. 166, hexagonal axes) and the conventional cell measures 4.9647, 4.9647 and 24.1135 Å, with angles of 90.00, 90.00 and 120.00 degrees. The distinct sites, in fractional coordinates, are Hf at (0.0000, 0.0000, 0.1242), Hf at (0.0000, 0.0000, 0.2526), Hf at (0.0000, 0.0000, 0.3718), Nb at (0.0000, 0.0000, 0.0000) and In at (0.0000, 0.0000, 0.5000).

Entry 4:
HfNbIn | PBE-GGA | relaxed

The density is 9.96 Mg/m³. As for the spin magnetization: 0.00 Bohr magnetons per cell. Its polymorph energy (0 for the lowest one) is 16 meV per atom. Its formation energy from the elements is -0.017 eV/atom.

The space group is P4/nmm (No. 129, origin choice 2) and the conventional cell measures 3.391, 3.391 and 11.195 Å, with angles of 90.00, 90.00 and 90.00 degrees. The distinct sites, in fractional coordinates, are Hf at (0.250, 0.250, 0.221), Nb at (0.250, 0.250, 0.933) and In at (0.250, 0.250, 0.600).

Entry 5:
Hf6NbIn3 | PBE-GGA | relaxed

The density is 9.09 Mg/m³. As for the spin magnetization: 0.00 Bohr magnetons per cell. Its formation energy from the elements is 0.954 eV/atom.

The space group is Fm-3m (No. 225) and the conventional cell measures 10.328, 10.328 and 10.328 Å, with angles of 90.00, 90.00 and 90.00 degrees. The distinct sites, in fractional coordinates, are Hf at (0.000, 0.000, 0.241), Nb at (0.000, 0.000, 0.000), In at (0.000, 0.000, 0.500) and In at (0.250, 0.250, 0.250).

Entry 6:
Hf3Nb2In3 | PBE-GGA | relaxed

The density is 10.61 Mg/m³. As for the spin magnetization: 0.00 Bohr magnetons per cell. Its formation energy from the elements is -0.082 eV/atom.

The space group is Immm (No. 71) and the conventional cell measures 3.932, 4.520 and 18.761 Å, with angles of 90.00, 90.00 and 90.00 degrees. The distinct sites, in fractional coordinates, are Hf at (0.000, 0.000, 0.000), Hf at (0.000, 0.500, 0.126), Nb at (0.000, 0.000, 0.253), In at (0.000, 0.000, 0.500) and In at (0.000, 0.500, 0.366).

Entry 7:
HfNb2In2 | PBE-GGA | relaxed

The density is 8.75 Mg/m³. As for the spin magnetization: 0.00 Bohr magnetons per cell. Its polymorph energy (0 for the lowest one) is 460 meV per atom. Its formation energy from the elements is 0.439 eV/atom.

The space group is I4/mmm (No. 139) and the conventional cell measures 4.149, 4.149 and 13.095 Å, with angles of 90.00, 90.00 and 90.00 degrees. The distinct sites, in fractional coordinates, are Hf at (0.000, 0.000, 0.000), Nb at (0.000, 0.000, 0.411) and In at (0.000, 0.500, 0.250).

Entry 8:
Hf3NbIn4 | PBE-GGA | relaxed

The density is 10.52 Mg/m³. As for the spin magnetization: 0.00 Bohr magnetons per cell. Its formation energy from the elements is -0.054 eV/atom.

The space group is Pmna (No. 53) and the conventional cell measures 8.781, 6.260 and 6.246 Å, with angles of 90.00, 90.00 and 90.00 degrees. The distinct sites, in fractional coordinates, are Hf at (0.000, 0.000, 0.000), Hf at (0.250, 0.255, 0.250), Nb at (0.000, 0.500, 0.000), In at (0.000, 0.000, 0.500), In at (0.000, 0.500, 0.500) and In at (0.250, 0.251, 0.750).